The following is a GGA-PBE calculation of a relaxed structure of SrLiNb2N4, from the Alexandria database.

The structure belongs to space group Cmcm (No. 63); the cell edges are 3.262, 10.658 and 10.809 Å and the angles 90.00°, 90.00° and 90.00°. Symmetry generates all atoms from Sr at (0.000, 0.104, 0.250), Li at (0.000, 0.172, 0.750), Nb at (0.000, 0.370, 0.054), N at (0.000, 0.000, 0.000), N at (0.000, 0.266, 0.603) and N at (0.000, 0.417, 0.250).

The raw total energy is -258.345 eV for the cell shown. As for the raw formation energy: -944 meV per atom. The magnetization comes out at 0.0 μB per formula unit. The calculation puts the volume at 11.74 Å³/atom. The density of states at the Fermi level is 1.0 states/eV/f.u.